VASP calculation (PBE) on Ni3C5 after structural relaxation.

Unit cell a=8.037 b=5.988 c=6.601 alpha=79.18 beta=47.04 gamma=53.78
Fractional positions:
Ni: 0.000 0.000 0.000
Ni: 0.225 0.225 0.775
Ni: 0.313 0.313 0.187
Ni: 0.586 0.781 0.219
Ni: 0.781 0.586 0.414
Ni: 0.813 0.813 0.687
C: 0.005 0.762 0.238
C: 0.168 0.723 0.277
C: 0.323 0.809 0.191
C: 0.379 0.856 0.621
C: 0.422 0.949 0.051
C: 0.723 0.168 0.832
C: 0.762 0.005 0.995
C: 0.809 0.323 0.677
C: 0.856 0.379 0.144
C: 0.949 0.422 0.578

Computed properties:
ΔE to the lowest computed polymorph = 0 meV/atom
raw total energy = -0.5115 Ry/atom
energy of formation = 0.973 eV per atom
DOS(E_F) = 6.477 states/eV per cell
symmetry = Fmm2 (42)

VASP calculation (PBE) on Ni5C after structural relaxation.

Unit cell a=2.481 b=2.481 c=9.562 alpha=90.00 beta=90.00 gamma=90.00
Fractional positions:
Ni: 0.000 0.000 0.000
Ni: 0.000 0.000 0.378
Ni: 0.000 0.000 0.622
Ni: 0.500 0.500 0.181
Ni: 0.500 0.500 0.819
C: 0.500 0.500 0.500

Computed properties:
ΔE to the lowest computed polymorph = 195 meV/atom
raw total energy = -0.4401 Ry/atom
energy of formation = 0.367 eV per atom
DOS(E_F) = 7.234 states/eV per cell
symmetry = P4/mmm (123)